The following is a PBE-GGA calculation of a relaxed structure of Zn6Mo, from Alexandria.

Properties
The energy above the most stable polymorph in this dataset comes out at 1044.7 meV/atom. Its space-group type is Im-3m, No. 229.

Unit cell a=5.916 b=5.916 c=5.916 alpha=109.47 beta=109.47 gamma=109.47
Positions (direct):
Zn: 0.250 0.500 0.750
Zn: 0.250 0.750 0.500
Zn: 0.500 0.250 0.750
Zn: 0.500 0.750 0.250
Zn: 0.750 0.250 0.500
Zn: 0.750 0.500 0.250
Mo: 0.000 0.000 0.000